YHoErCu: relaxed, GGA-PBE.

Computed properties:
As for the formation enthalpy at 0 K: -0.106 eV/atom.

Cell lengths 3.470, 3.470, 8.685 Å; angles 90.00, 90.00, 90.00 degrees
Space group P4mm (No. 99)
Unique sites:
Y1 0.000 0.000 0.000 x1
Ho1 0.500 0.500 0.696 x1
Er1 0.500 0.500 0.303 x1
Cu1 0.000 0.000 0.497 x1

Ag3SnAu5: relaxed, GGA-PBE.

Computed properties:
As for the formation enthalpy at 0 K: 0.168 eV/atom.

Cell lengths 7.986, 7.986, 11.618 Å; angles 90.00, 90.00, 90.00 degrees
Space group I4/mcm (No. 140)
Unique sites:
Ag1 0.000 0.000 0.250 x4
Ag2 0.114 0.386 0.000 x8
Sn1 0.000 0.500 0.250 x4
Au1 0.000 0.000 0.000 x4
Au2 0.199 0.301 0.365 x16

Zn3AuI9: relaxed, GGA-PBE.

Computed properties:
The calculation puts the uncorrected formation energy at -0.28 eV per atom.

Cell lengths 6.920, 12.844, 13.587 Å; angles 90.00, 99.83, 90.00 degrees
Space group P2_1/m (No. 11)
Unique sites:
Zn1 0.000 0.000 0.000 x2
Zn2 0.489 0.054 0.777 x4
Au1 0.205 0.250 0.600 x2
I1 0.177 0.750 0.007 x2
I2 0.199 0.063 0.188 x4
I3 0.257 0.750 0.231 x2
I4 0.266 0.750 0.444 x2
I5 0.268 0.047 0.602 x4
I6 0.302 0.097 0.921 x4

Ce3GaSe4: relaxed, GGA-PBE.

Computed properties:
The calculation puts the uncorrected formation energy at -1.49 eV per atom.

Cell lengths 5.960, 5.960, 5.960 Å; angles 90.00, 90.00, 90.00 degrees
Space group Pm-3m (No. 221)
Unique sites:
Ce1 0.000 0.000 0.500 x3
Ga1 0.500 0.500 0.500 x1
Se1 0.000 0.000 0.000 x1
Se2 0.000 0.500 0.500 x3

BaMg6Sb: relaxed, GGA-PBE.

Computed properties:
The calculation puts the uncorrected formation energy at -0.09 eV per atom. The calculation puts the offset from the most stable computed form at 0 meV per atom.

Cell lengths 4.935, 6.579, 14.006 Å; angles 90.00, 90.00, 90.00 degrees
Space group Amm2 (No. 38)
Unique sites:
Ba1 0.000 0.000 0.000 x2
Mg1 0.000 0.000 0.579 x2
Mg2 0.000 0.227 0.272 x4
Mg3 0.500 0.000 0.422 x2
Mg4 0.500 0.241 0.144 x4
Sb1 0.500 0.000 0.821 x2

AcSn2Ru2: relaxed, GGA-PBE.

Computed properties:
As for the formation enthalpy at 0 K: -0.338 eV/atom. The calculation puts the offset from the most stable computed form at 32 meV per atom.

Cell lengths 5.951, 11.346, 7.752 Å; angles 90.00, 112.50, 90.00 degrees
Space group C2/c (No. 15)
Unique sites:
Ac1 0.000 0.125 0.250 x4
Sn1 0.000 0.188 0.750 x4
Sn2 0.000 0.438 0.250 x4
Ru1 0.110 0.375 0.969 x8

HfP2NCl: relaxed, GGA-PBE.

Computed properties:
The calculation puts the uncorrected formation energy at 0.45 eV per atom. The calculation puts the offset from the most stable computed form at 0 meV per atom.

Cell lengths 3.989, 3.989, 4.520 Å; angles 90.00, 90.00, 90.00 degrees
Space group P4/mmm (No. 123)
Unique sites:
Hf1 0.000 0.000 0.000 x1
P1 0.000 0.500 0.500 x2
N1 0.500 0.500 0.500 x1
Cl1 0.500 0.500 0.000 x1

CsGe8: relaxed, GGA-PBE.

Computed properties:
As for the formation enthalpy at 0 K: 0.266 eV/atom.

Cell lengths 6.173, 6.828, 7.146 Å; angles 62.90, 83.57, 72.44 degrees
Space group P-1 (No. 2)
Unique sites:
Cs1 0.000 0.000 0.000 x1
Ge1 0.005 0.669 0.520 x2
Ge2 0.410 0.681 0.352 x2
Ge3 0.412 0.033 0.650 x2
Ge4 0.437 0.347 0.000 x2

Y2AsSe: relaxed, GGA-PBE.

Computed properties:
The calculation puts the uncorrected formation energy at -1.73 eV per atom. The calculation puts the offset from the most stable computed form at 0 meV per atom.

Cell lengths 7.106, 4.102, 7.142 Å; angles 90.00, 109.27, 90.00 degrees
Space group C2/m (No. 12)
Unique sites:
Y1 0.246 0.000 0.237 x4
As1 0.000 0.500 0.000 x2
Se1 0.000 0.000 0.500 x2

ZrTe2Ru: relaxed, GGA-PBE.

Computed properties:
The calculation puts the uncorrected formation energy at 0.12 eV per atom. The calculation puts the offset from the most stable computed form at 585 meV per atom.

Cell lengths 5.831, 9.329, 4.346 Å; angles 90.00, 129.33, 90.00 degrees
Space group C2/m (No. 12)
Unique sites:
Zr1 0.000 0.000 0.000 x2
Te1 0.250 0.250 0.500 x4
Ru1 0.000 0.500 0.000 x2

HoSnH2: relaxed, GGA-PBE.

Cell lengths 3.5674, 3.5674, 16.7734 Å; angles 90.00, 90.00, 120.00 degrees
Space group R-3m (No. 166, hexagonal axes)
Unique sites:
Ho1 0.0000 0.0000 0.0000 x3
Sn1 0.0000 0.0000 0.5000 x3
H1 0.0000 0.0000 0.3026 x6

BaCaGd: relaxed, GGA-PBE.

Computed properties:
As for the formation enthalpy at 0 K: 0.153 eV/atom. The calculation puts the offset from the most stable computed form at 8 meV per atom.

Cell lengths 3.9279, 3.9279, 9.6958 Å; angles 90.00, 90.00, 120.00 degrees
Space group P3m1 (No. 156)
Unique sites:
Ba1 0.0000 0.0000 0.0000 x1
Ca1 0.3333 0.6667 0.6376 x1
Gd1 0.6667 0.3333 0.3333 x1

Number 1: raw total energy -20.1 eV per cell. Number 2: raw total energy -109.7 eV per cell. Number 3: raw total energy -49.3 eV per cell. Number 4: raw total energy -46.7 eV per cell. Number 5: raw total energy -32.6 eV per cell. Number 6: raw total energy -129.4 eV per cell. Number 7: raw total energy -28.7 eV per cell. Number 8: raw total energy -35.4 eV per cell. Number 9: raw total energy -55.9 eV per cell. Number 10: raw total energy -47.3 eV per cell. Number 11: raw total energy -50.9 eV per cell. Number 12: raw total energy -17.5 eV per cell.